(1)
{"formula": "TcIr6Rh8", "functional": "GGA-PBE", "state": "optimized geometry", "spacegroup": "R-3 (148)", "crystal_system": "trigonal", "delta_e_f_mev_per_atom": 317, "m_tot_mub_per_fu": 0.0, "lattice": [[7.2080, 0.0000, 0.0000], [3.6040, 6.2423, 0.0000], [3.6040, 2.0808, 5.2300]], "species": ["Tc", "Ir", "Ir", "Ir", "Ir", "Ir", "Ir", "Rh", "Rh", "Rh", "Rh", "Rh", "Rh", "Rh", "Rh"], "fractional_positions": [[0.0000, 0.0000, 0.0000], [0.3673, 0.0774, 0.8858], [0.9226, 0.3305, 0.1142], [0.3305, 0.6327, 0.1142], [0.6695, 0.3673, 0.8858], [0.0774, 0.6695, 0.8858], [0.6327, 0.9226, 0.1142], [0.5860, 0.1686, 0.3897], [0.8314, 0.1443, 0.6103], [0.1443, 0.4140, 0.6103], [0.7405, 0.7405, 0.7785], [0.2595, 0.2595, 0.2215], [0.8557, 0.5860, 0.3897], [0.1686, 0.8557, 0.3897], [0.4140, 0.8314, 0.6103]]}


(2)
{"formula": "TcIr3Rh3", "functional": "GGA-PBE", "state": "optimized geometry", "spacegroup": "R-3 (148)", "crystal_system": "trigonal", "delta_e_f_mev_per_atom": 372, "m_tot_mub_per_fu": 0.0, "lattice": [[6.2544, 0.5052, 2.4645], [1.8528, 5.9950, 2.4645], [0.6301, 0.5052, 6.6929]], "species": ["Tc", "Tc", "Ir", "Ir", "Ir", "Ir", "Ir", "Ir", "Rh", "Rh", "Rh", "Rh", "Rh", "Rh"], "fractional_positions": [[0.3850, 0.3850, 0.3850], [0.6150, 0.6150, 0.6150], [0.7857, 0.4615, 0.1381], [0.1381, 0.7857, 0.4615], [0.4615, 0.1381, 0.7857], [0.5385, 0.8619, 0.2143], [0.8619, 0.2143, 0.5385], [0.2143, 0.5385, 0.8619], [0.5971, 0.2677, 0.0098], [0.2677, 0.0098, 0.5971], [0.0098, 0.5971, 0.2677], [0.9902, 0.4029, 0.7323], [0.7323, 0.9902, 0.4029], [0.4029, 0.7323, 0.9902]]}


(3)
{"formula": "Tc2IrRh", "functional": "GGA-PBE", "state": "optimized geometry", "spacegroup": "Cmmm (65)", "crystal_system": "orthorhombic", "delta_e_f_mev_per_atom": -125, "m_tot_mub_per_fu": 0.0, "lattice": [[6.0674, -0.0010, -0.0032], [-2.4285, 4.0972, 0.0001], [1.2104, 0.7160, 2.3123]], "species": ["Ir", "Rh", "Tc", "Tc"], "fractional_positions": [[0.0000, 0.5000, 0.5000], [0.5000, 0.5000, 0.0000], [0.0000, 0.0000, 0.0000], [0.5000, 0.0000, 0.5000]]}


(4)
{"formula": "Tc2IrRh", "functional": "GGA-PBE", "state": "optimized geometry", "spacegroup": "Pmmm (47)", "crystal_system": "orthorhombic", "delta_e_f_mev_per_atom": -116, "m_tot_mub_per_fu": 0.0, "lattice": [[-3.7546, -0.9079, -0.6078], [-0.0979, -1.2182, 2.4242], [-1.6000, 3.4567, 4.7200]], "species": ["Ir", "Rh", "Tc", "Tc"], "fractional_positions": [[0.5000, 0.2500, 0.2500], [0.5000, 0.7500, 0.7500], [0.0000, 0.9992, 0.0005], [0.0000, 0.5008, 0.4995]]}


(5)
{"formula": "Tc2IrRh", "functional": "GGA-PBE", "state": "optimized geometry", "spacegroup": "I4/mmm (139)", "crystal_system": "tetragonal", "delta_e_f_mev_per_atom": -120, "m_tot_mub_per_fu": 0.0, "lattice": [[4.7604, 0.0007, 0.0000], [1.6735, 4.4566, 0.0000], [-3.2170, -2.2287, 2.7103]], "species": ["Ir", "Rh", "Tc", "Tc"], "fractional_positions": [[0.2500, 0.7500, 0.5000], [0.7500, 0.2500, 0.5000], [0.0000, 0.0000, 0.0000], [0.5000, 0.5000, 0.0000]]}


(6)
{"formula": "Tc2IrRh", "functional": "GGA-PBE", "state": "optimized geometry", "spacegroup": "C2/m (12)", "crystal_system": "monoclinic", "delta_e_f_mev_per_atom": -72, "m_tot_mub_per_fu": 0.0, "lattice": [[4.7582, 0.0033, -0.0063], [3.9794, 2.6086, -0.0063], [0.7703, 0.2303, 4.6451]], "species": ["Ir", "Rh", "Tc", "Tc"], "fractional_positions": [[0.2500, 0.2500, 0.2500], [0.7500, 0.7500, 0.7500], [0.9984, 0.9984, 0.0019], [0.5016, 0.5016, 0.4981]]}